Below is CaSc2Cl after structural relaxation, with properties calculated at the PBE level.

## Properties
The density of states at the Fermi level is 10.31 states/eV/cell. The formation energy without anion corrections is -0.207 eV per atom. The value obtained for the energy relative to the lowest polymorph listed for this composition is 0.440 eV per atom.

Unit cell a=4.104 b=4.104 c=13.521 alpha=90.00 beta=90.00 gamma=90.00
Space group I4/mmm (No. 139)
One atom of each set of equivalent atoms:
Ca: 0.000 0.000 0.000 [2 per cell]
Sc: 0.000 0.500 0.250 [4 per cell]
Cl: 0.000 0.000 0.500 [2 per cell]